Crystalline K2MgW at its relaxed geometry, computed with GGA-PBEsol.

Values from the calculation:
**Crystal system**: orthorhombic
**Theoretical density**: 4.81 Mg/m³
**Formation energy from the elements**: 1162 meV/atom
**Volume**: 24.70 Å³/atom

Lattice parameters (Å, degrees): 3.204 4.874 12.656 90.00 90.00 90.00
Space group Cmmm (No. 65)
Symmetry-distinct sites (fractional):
1 K 0.000 0.000 0.235 x4
2 Mg 0.000 0.500 0.500 x2
3 W 0.000 0.500 0.000 x2


Crystalline TlRe2Sb at its relaxed geometry, computed with GGA-PBEsol.

Values from the calculation:
**Crystal system**: orthorhombic
**Uncorrected formation energy**: 4.38 eV/f.u.
**E above lowest polymorph**: 2.341 eV per formula unit
**Theoretical density**: 15.88 Mg/m³
**Volume**: 18.26 Å³/atom

Lattice parameters (Å, degrees): 3.148 5.216 8.899 90.00 90.00 90.00
Space group Cmmm (No. 65)
Symmetry-distinct sites (fractional):
1 Tl 0.000 0.000 0.000 x2
2 Re 0.000 0.500 0.265 x4
3 Sb 0.000 0.000 0.500 x2


Crystalline CaLa2GePb at its relaxed geometry, computed with GGA-PBEsol.

Values from the calculation:
**Crystal system**: tetragonal
**Theoretical density**: 4.92 Mg/m³
**Formation energy from the elements**: 202 meV/atom
**Volume**: 40.31 Å³/atom

Lattice parameters (Å, degrees): 5.983 5.983 5.630 90.00 90.00 90.00
Space group P4/mmm (No. 123)
Symmetry-distinct sites (fractional):
1 Ca 0.000 0.000 0.000 x1
2 La 0.000 0.500 0.500 x2
3 Ge 0.500 0.500 0.000 x1
4 Pb 0.000 0.000 0.500 x1


Crystalline TaAlAu2 at its relaxed geometry, computed with GGA-PBEsol.

Values from the calculation:
**Crystal system**: monoclinic
**Theoretical density**: 14.90 Mg/m³
**Formation energy from the elements**: -22 meV/atom
**Volume**: 16.77 Å³/atom

Lattice parameters (Å, degrees): 5.601 9.153 2.778 90.00 109.57 90.00
Space group C2/m (No. 12)
Symmetry-distinct sites (fractional):
1 Ta 0.000 0.000 0.000 x2
2 Al 0.000 0.500 0.000 x2
3 Au 0.250 0.250 0.500 x4


Crystalline Y2TeO6 at its relaxed geometry, computed with GGA-PBEsol.

Values from the calculation:
**Crystal system**: trigonal
**Uncorrected formation energy**: -23.36 eV/f.u.
**Theoretical density**: 5.47 Mg/m³
**Volume**: 13.53 Å³/atom

Lattice parameters (Å, degrees): 9.0274 9.0274 5.1773 90.00 90.00 120.00
Space group P321 (No. 150)
Symmetry-distinct sites (fractional):
1 Y 0.0000 0.2799 0.0000 x3
2 Y 0.0000 0.6169 0.5000 x3
3 Te 0.0000 0.0000 0.5000 x1
4 Te 0.3333 0.6667 0.9952 x2
5 O 0.0751 0.8746 0.2868 x6
6 O 0.1319 0.5431 0.2093 x6
7 O 0.2276 0.7642 0.7793 x6


Crystalline CdIrBr2 at its relaxed geometry, computed with GGA-PBEsol.

Values from the calculation:
**Crystal system**: cubic
**Uncorrected formation energy**: 3.04 eV/f.u.
**E above lowest polymorph**: 2.365 eV per formula unit
**Theoretical density**: 9.82 Mg/m³
**Volume**: 19.63 Å³/atom

Lattice parameters (Å, degrees): 6.798 6.798 6.798 90.00 90.00 90.00
Space group Fm-3m (No. 225)
Symmetry-distinct sites (fractional):
1 Cd 0.000 0.000 0.000 x4
2 Ir 0.000 0.000 0.500 x4
3 Br 0.250 0.250 0.250 x8


The lowest volume belongs to which entry?
Y2TeO6


Look up the theoretical density of the first one.
4.81 Mg/m³


The highest theoretical density belongs to which entry?
TlRe2Sb


Look up the volume of the fourth one.
16.77 Å³/atom